ZrSiTc after structural relaxation. Source: the Alexandria database, functional PBE-GGA.

The uncorrected formation energy comes out at -0.635 eV/atom. The value obtained for the size of the total moment is 0.00 μB/f.u. The calculation puts the raw total energy at -8.7469 eV/atom.

a b c (Å): 3.843 3.843 6.897
angles (deg): 90.00 90.00 90.00
Space group P4/nmm (No. 129, origin choice 2)
Unique sites:
Zr 0.250 0.250 0.156 x2
Si 0.250 0.250 0.742 x2
Tc 0.250 0.750 0.500 x2



TaAs2PdBr after structural relaxation. Source: the Alexandria database, functional PBE-GGA.

The uncorrected formation energy comes out at 0.482 eV/atom. The value obtained for the size of the total moment is 0.00 μB/f.u. The calculation puts the raw total energy at -5.1215 eV/atom.

a b c (Å): 4.991 4.991 5.115
angles (deg): 90.00 90.00 90.00
Space group P4/mmm (No. 123)
Unique sites:
Ta 0.000 0.000 0.000 x1
As 0.000 0.500 0.000 x2
Pd 0.500 0.500 0.500 x1
Br 0.000 0.000 0.500 x1



CoSb3Te after structural relaxation. Source: the Alexandria database, functional PBE-GGA.

The uncorrected formation energy comes out at 0.273 eV/atom. The value obtained for the size of the total moment is 0.00 μB/f.u. The calculation puts the raw total energy at -4.2500 eV/atom.

a b c (Å): 5.014 5.014 5.014
angles (deg): 90.00 90.00 90.00
Space group Pm-3m (No. 221)
Unique sites:
Co 0.000 0.000 0.000 x1
Sb 0.000 0.000 0.500 x3
Te 0.500 0.500 0.500 x1



Tl4InBi2Pb2 after structural relaxation. Source: the Alexandria database, functional PBE-GGA.

The value obtained for the size of the total moment is 0.00 μB/f.u. The calculation puts the raw total energy at -3.0191 eV/atom. The calculation puts the formation energy at 0.02 eV/atom.

a b c (Å): 6.485 6.848 7.281
angles (deg): 102.69 108.85 90.40
Space group P-1 (No. 2)
Unique sites:
Tl 0.132 0.173 0.236 x2
Tl 0.314 0.644 0.598 x2
In 0.500 0.000 0.000 x1
Bi 0.149 0.245 0.736 x2
Pb 0.286 0.635 0.112 x2



LiPmGdAg after structural relaxation. Source: the Alexandria database, functional PBE-GGA.

The value obtained for the size of the total moment is 7.75 μB/f.u. The calculation puts the raw total energy at -5.9807 eV/atom. The calculation puts the formation energy at -0.08 eV/atom.

a b c (Å): 7.427 7.427 7.427
angles (deg): 90.00 90.00 90.00
Space group F-43m (No. 216)
Unique sites:
Li 0.000 0.000 0.000 x4
Pm 0.250 0.250 0.750 x4
Gd 0.250 0.250 0.250 x4
Ag 0.000 0.000 0.500 x4



Pu3Si2Pd3 after structural relaxation. Source: the Alexandria database, functional PBE-GGA.

The uncorrected formation energy comes out at -0.560 eV/atom. The value obtained for the size of the total moment is 16.80 μB/f.u. The calculation puts the raw total energy at -9.2379 eV/atom.

a b c (Å): 4.300 10.366 14.472
angles (deg): 90.00 90.00 90.00
Space group Cmcm (No. 63)
Unique sites:
Pu 0.000 0.078 0.110 x8
Pu 0.000 0.381 0.250 x4
Si 0.000 0.209 0.599 x8
Pd 0.000 0.325 0.750 x4
Pd 0.000 0.370 0.035 x8



TePtSe2 after structural relaxation. Source: the Alexandria database, functional PBE-GGA.

The uncorrected formation energy comes out at -0.033 eV/atom. The value obtained for the size of the total moment is 0.00 μB/f.u. The calculation puts the raw total energy at -4.0706 eV/atom.

a b c (Å): 3.684 4.900 11.395
angles (deg): 90.00 90.00 90.00
Space group Immm (No. 71)
Unique sites:
Te 0.000 0.000 0.000 x2
Pt 0.000 0.000 0.500 x2
Se 0.000 0.500 0.152 x4



KSc3Mn after structural relaxation. Source: the Alexandria database, functional PBE-GGA.

The value obtained for the size of the total moment is 4.18 μB/f.u. The calculation puts the raw total energy at -4.2983 eV/atom. The calculation puts the formation energy at 1.55 eV/atom.

a b c (Å): 4.905 4.905 4.905
angles (deg): 90.00 90.00 90.00
Space group Pm-3m (No. 221)
Unique sites:
K 0.000 0.000 0.000 x1
Sc 0.000 0.000 0.500 x3
Mn 0.500 0.500 0.500 x1